Arrangement P

The following is a PBE-GGA calculation of a relaxed structure of Nd2SmAl6, from the Alexandria database.

Geometry as POSCAR:
```
Nd2SmAl6
1.0
-2.2401 3.6575 6.8406
2.2401 -3.6575 6.8406
2.2401 3.6575 -6.8406
Nd Sm Al
2 1 6
Direct
0.1256 0.1256 0.0000 Nd
0.8744 0.8744 0.0000 Nd
0.5000 0.0000 0.5000 Sm
0.1279 0.3183 0.8096 Al
0.1888 0.5000 0.6888 Al
0.4913 0.6817 0.8096 Al
0.5087 0.3183 0.1904 Al
0.8112 0.5000 0.3112 Al
0.8721 0.6817 0.1904 Al
```



Arrangement Q

The following is a PBE-GGA calculation of a relaxed structure of Nd2SmAl6, from the Alexandria database.

Geometry as POSCAR:
```
Nd2SmAl6
1.0
7.9684 0.0000 0.0000
-3.9842 6.9009 0.0000
0.0000 0.0000 3.7032
Nd Sm Al
2 1 6
Direct
0.3333 0.6667 0.0000 Nd
0.6667 0.3333 0.0000 Nd
0.0000 0.0000 0.0000 Sm
0.0000 0.3326 0.5000 Al
0.0000 0.6674 0.5000 Al
0.3326 0.0000 0.5000 Al
0.3326 0.3326 0.5000 Al
0.6674 0.0000 0.5000 Al
0.6674 0.6674 0.5000 Al
```



Q: Which of them is the least stable? A: arrangement P.



Arrangement P

The following is a PBE-GGA calculation of a relaxed structure of NdSm2Al6, from the Alexandria database.

Geometry as POSCAR:
```
NdSm2Al6
1.0
-2.2340 3.6559 6.7861
2.2340 -3.6559 6.7861
2.2340 3.6559 -6.7861
Nd Sm Al
1 2 6
Direct
0.0000 0.0000 0.0000 Nd
0.3748 0.8748 0.5000 Sm
0.6252 0.1252 0.5000 Sm
0.0093 0.3168 0.6925 Al
0.3151 0.5000 0.8151 Al
0.3757 0.6832 0.6925 Al
0.6243 0.3168 0.3075 Al
0.6849 0.5000 0.1849 Al
0.9907 0.6832 0.3075 Al
```



Arrangement Q

The following is a PBE-GGA calculation of a relaxed structure of NdSm2Al6, from the Alexandria database.

Geometry as POSCAR:
```
NdSm2Al6
1.0
7.9666 0.0000 0.0000
-3.9833 6.8993 0.0000
0.0000 0.0000 3.6587
Nd Sm Al
1 2 6
Direct
0.0000 0.0000 0.0000 Nd
0.3333 0.6667 0.0000 Sm
0.6667 0.3333 0.0000 Sm
0.0000 0.3341 0.5000 Al
0.0000 0.6659 0.5000 Al
0.3341 0.0000 0.5000 Al
0.3341 0.3341 0.5000 Al
0.6659 0.0000 0.5000 Al
0.6659 0.6659 0.5000 Al
```



Q: Which of them is the least stable? A: arrangement P.